1.
DFT (PBE) results for a relaxed CaIBr2 crystal.

Properties
Raw formation energy   -1392 meV per atom
Total magnetic moment   0.0 μB per formula unit

a b c (Å): 6.079 7.786 7.827
angles (deg): 72.53 69.62 69.96
Fractional coordinates of all 8 atoms:
1 I 0.206 0.602 0.757
2 Ca 0.450 0.420 0.405
3 Br 0.646 0.296 0.041
4 Br 0.499 0.780 0.125
5 Ca 0.681 0.670 0.750
6 Br 0.916 0.475 0.440
7 Br 0.565 0.047 0.583
8 I 0.069 0.040 0.087

=====

2.
DFT (PBE) results for a relaxed CaIBr crystal.

Properties
Raw formation energy   -1775 meV per atom
Total magnetic moment   0.0 μB per formula unit

a b c (Å): 7.220 4.429 7.565
angles (deg): 90.00 103.64 90.00
Fractional coordinates of all 6 atoms:
1 I 0.601 0.000 0.948
2 Ca 0.170 0.000 0.698
3 Br 0.401 0.000 0.417
4 Br 0.133 0.500 0.945
5 Ca 0.501 0.500 0.205
6 I 0.930 0.500 0.438